Record 1
# Ca2TmHfP4

A relaxed structure of Ca2TmHfP4 (PBE, Alexandria).

Values from the calculation:
Energy of formation from the pure elements, eV/f.u.: -9.9

```
data_Ca2TmHfP4
_cell_length_a 3.908
_cell_length_b 6.805
_cell_length_c 7.019
_cell_angle_alpha 108.64
_cell_angle_beta 90.00
_cell_angle_gamma 90.00
_symmetry_space_group_name_H-M 'P 1'
_symmetry_Int_Tables_number 1
loop_
_symmetry_equiv_pos_as_xyz
'x,y,z'
loop_
_atom_site_label
_atom_site_fract_x
_atom_site_fract_y
_atom_site_fract_z
Tm1 0.500 0.500 0.000
P1 0.000 0.754 0.228
Hf1 0.000 0.000 0.000
P2 0.500 0.769 0.777
P3 0.000 0.246 0.772
Ca1 0.000 0.500 0.500
Ca2 0.500 0.000 0.500
P4 0.500 0.231 0.223
```

***

Record 2
# Ca3Hf2UP6

A relaxed structure of Ca3Hf2UP6 (PBE, Alexandria).

Values from the calculation:
Energy of formation from the pure elements, eV/f.u.: -14.4

```
data_Ca3Hf2UP6
_cell_length_a 6.726
_cell_length_b 6.726
_cell_length_c 6.978
_cell_angle_alpha 99.25
_cell_angle_beta 99.25
_cell_angle_gamma 120.00
_symmetry_space_group_name_H-M 'P 1'
_symmetry_Int_Tables_number 1
loop_
_symmetry_equiv_pos_as_xyz
'x,y,z'
loop_
_atom_site_label
_atom_site_fract_x
_atom_site_fract_y
_atom_site_fract_z
P1 0.263 0.263 0.777
P2 0.412 0.074 0.223
Hf1 0.333 0.667 0.000
Ca1 0.166 0.834 0.500
P3 0.074 0.412 0.223
Ca2 0.500 0.500 0.500
Hf2 0.667 0.333 0.000
Ca3 0.834 0.166 0.500
P4 0.588 0.926 0.777
P5 0.926 0.588 0.777
P6 0.737 0.737 0.223
U1 0.000 0.000 0.000
```

***

Record 3
# Ca2YHfP4

A relaxed structure of Ca2YHfP4 (PBE, Alexandria).

Values from the calculation:
Energy of formation from the pure elements, eV/f.u.: -9.9

```
data_Ca2YHfP4
_cell_length_a 3.929
_cell_length_b 6.846
_cell_length_c 7.036
_cell_angle_alpha 108.69
_cell_angle_beta 90.00
_cell_angle_gamma 90.00
_symmetry_space_group_name_H-M 'P 1'
_symmetry_Int_Tables_number 1
loop_
_symmetry_equiv_pos_as_xyz
'x,y,z'
loop_
_atom_site_label
_atom_site_fract_x
_atom_site_fract_y
_atom_site_fract_z
P1 0.500 0.228 0.224
P2 0.000 0.758 0.231
P3 0.000 0.242 0.769
P4 0.500 0.772 0.776
Hf1 0.000 0.000 0.000
Y1 0.500 0.500 0.000
Ca1 0.500 0.000 0.500
Ca2 0.000 0.500 0.500
```

***

Record 4
# CaY2HfP4

A relaxed structure of CaY2HfP4 (PBE, Alexandria).

Values from the calculation:
Energy of formation from the pure elements, eV/f.u.: -11.1

```
data_CaY2HfP4
_cell_length_a 3.938
_cell_length_b 6.877
_cell_length_c 6.789
_cell_angle_alpha 109.05
_cell_angle_beta 90.00
_cell_angle_gamma 90.00
_symmetry_space_group_name_H-M 'P 1'
_symmetry_Int_Tables_number 1
loop_
_symmetry_equiv_pos_as_xyz
'x,y,z'
loop_
_atom_site_label
_atom_site_fract_x
_atom_site_fract_y
_atom_site_fract_z
Hf1 0.000 0.000 0.000
P1 0.000 0.237 0.755
Y1 0.500 0.000 0.500
Y2 0.000 0.500 0.500
P2 0.500 0.234 0.236
P3 0.500 0.766 0.764
P4 0.000 0.763 0.245
Ca1 0.500 0.500 0.000
```

***

Record 5
# CaHfPa2S8

A relaxed structure of CaHfPa2S8 (PBE, Alexandria).

Values from the calculation:
Energy relative to the elements, uncorrected, kcal/mol of atoms: -35.84

```
data_CaHfPa2S8
_cell_length_a 6.277
_cell_length_b 6.052
_cell_length_c 8.209
_cell_angle_alpha 90.00
_cell_angle_beta 90.00
_cell_angle_gamma 88.84
_symmetry_space_group_name_H-M 'P 1'
_symmetry_Int_Tables_number 1
loop_
_symmetry_equiv_pos_as_xyz
'x,y,z'
loop_
_atom_site_label
_atom_site_fract_x
_atom_site_fract_y
_atom_site_fract_z
S1 0.655 0.713 0.500
Pa1 0.500 0.500 0.248
Pa2 0.500 0.500 0.752
Hf1 0.000 0.000 0.000
S2 0.826 0.223 0.775
S3 0.322 0.276 0.000
S4 0.345 0.287 0.500
S5 0.174 0.777 0.775
S6 0.174 0.777 0.225
S7 0.826 0.223 0.225
Ca1 0.000 0.000 0.500
S8 0.678 0.724 0.000
```

***

Record 6
# Ca3HfPa2Sb6

A relaxed structure of Ca3HfPa2Sb6 (PBE, Alexandria).

Values from the calculation:
Energy relative to the elements, uncorrected, kcal/mol of atoms: -16.63

```
data_Ca3HfPa2Sb6
_cell_length_a 7.543
_cell_length_b 7.543
_cell_length_c 7.766
_cell_angle_alpha 99.35
_cell_angle_beta 99.35
_cell_angle_gamma 120.03
_symmetry_space_group_name_H-M 'P 1'
_symmetry_Int_Tables_number 1
loop_
_symmetry_equiv_pos_as_xyz
'x,y,z'
loop_
_atom_site_label
_atom_site_fract_x
_atom_site_fract_y
_atom_site_fract_z
Sb1 0.400 0.077 0.232
Ca1 0.829 0.171 0.500
Hf1 0.000 0.000 0.000
Pa1 0.334 0.666 0.000
Sb2 0.757 0.757 0.236
Ca2 0.500 0.500 0.500
Sb3 0.923 0.600 0.768
Ca3 0.171 0.829 0.500
Sb4 0.600 0.923 0.768
Pa2 0.666 0.334 0.000
Sb5 0.077 0.400 0.232
Sb6 0.243 0.243 0.764
```

***

Record 7
# Ca2HfPb2

A relaxed structure of Ca2HfPb2 (PBE, Alexandria).

Values from the calculation:
Energy of formation from the pure elements, eV/f.u.: -0.4

```
data_Ca2HfPb2
_cell_length_a 8.680
_cell_length_b 8.680
_cell_length_c 3.806
_cell_angle_alpha 90.00
_cell_angle_beta 90.00
_cell_angle_gamma 90.00
_symmetry_space_group_name_H-M 'P 1'
_symmetry_Int_Tables_number 1
loop_
_symmetry_equiv_pos_as_xyz
'x,y,z'
loop_
_atom_site_label
_atom_site_fract_x
_atom_site_fract_y
_atom_site_fract_z
Pb1 0.667 0.167 0.000
Ca1 0.639 0.861 0.500
Hf1 0.000 0.000 0.000
Ca2 0.361 0.139 0.500
Pb2 0.833 0.667 0.000
Pb3 0.333 0.833 0.000
Hf2 0.500 0.500 0.000
Ca3 0.139 0.639 0.500
Ca4 0.861 0.361 0.500
Pb4 0.167 0.333 0.000
```

***

Record 8
# CaHf3Pb

A relaxed structure of CaHf3Pb (PBE, Alexandria).

Values from the calculation:
Energy above the lowest structure with this stoichiometry, eV/f.u.: 2.88
Energy of formation from the pure elements, eV/f.u.: 8.4

```
data_CaHf3Pb
_cell_length_a 5.125
_cell_length_b 5.125
_cell_length_c 5.125
_cell_angle_alpha 90.00
_cell_angle_beta 90.00
_cell_angle_gamma 90.00
_symmetry_space_group_name_H-M 'P 1'
_symmetry_Int_Tables_number 1
loop_
_symmetry_equiv_pos_as_xyz
'x,y,z'
loop_
_atom_site_label
_atom_site_fract_x
_atom_site_fract_y
_atom_site_fract_z
Pb1 0.500 0.500 0.500
Hf1 0.000 0.000 0.500
Hf2 0.500 0.000 0.000
Ca1 0.000 0.000 0.000
Hf3 0.000 0.500 0.000
```